Entry from Alexandria: a relaxed AcSm2In6 crystal (PBE-GGA).

## Properties
- ΔE_f (eV per atom) = -0.43
- calculated density (g/cm³) = 8.04

Lattice parameters (Å, degrees): 8.790 8.790 3.754 90.00 90.00 120.00
Positions (direct):
Ac1 0.000 0.000 0.000
Sm1 0.333 0.667 0.000
Sm2 0.667 0.333 0.000
In1 0.000 0.338 0.500
In2 0.000 0.662 0.500
In3 0.338 0.000 0.500
In4 0.338 0.338 0.500
In5 0.662 0.000 0.500
In6 0.662 0.662 0.500


Entry from Alexandria: a relaxed ThGe3Rh3 crystal (PBE-GGA).

## Properties
- ΔE to the lowest computed polymorph (kcal/mol of atoms) = 7.625
- ΔE_f (eV per atom) = -0.24
- calculated density (g/cm³) = 8.50

Lattice parameters (Å, degrees): 6.668 6.668 6.668 90.00 90.00 90.00
Positions (direct):
Th1 0.000 0.000 0.000
Th2 0.500 0.500 0.500
Ge1 0.000 0.250 0.500
Ge2 0.000 0.750 0.500
Ge3 0.250 0.500 0.000
Ge4 0.500 0.000 0.250
Ge5 0.500 0.000 0.750
Ge6 0.750 0.500 0.000
Rh1 0.000 0.500 0.250
Rh2 0.000 0.500 0.750
Rh3 0.250 0.000 0.500
Rh4 0.500 0.250 0.000
Rh5 0.500 0.750 0.000
Rh6 0.750 0.000 0.500


Q: Look up the calculated density of the first one.
A: 8.04 g/cm³